#a
4
Lattice="4.156 0.000 0.000 2.078 3.600 0.000 2.078 1.200 5.302" Properties=species:S:1:pos:R:3 comment="PmAs2Os (PBE-GGA, relaxed)" total_magnetization_mub_per_cell=0.00 pbc="T T T"
As 6.235 3.600 3.570
As 2.078 1.200 1.732
Os 4.156 2.400 2.651
Pm 0.000 0.000 0.000

=====

#b
4
Lattice="-3.404 2.309 -2.371 -3.899 -2.314 -1.409 -4.170 0.882 2.091" Properties=species:S:1:pos:R:3 comment="PmAs2Os (PBE-GGA, relaxed)" total_magnetization_mub_per_cell=0.14 pbc="T T T"
As -2.868 0.219 -0.422
As -8.604 0.657 -1.267
Os 0.000 0.000 0.000
Pm -5.736 0.438 -0.845

=====

Least stable: #b

=====

#a
10
Lattice="-5.247 -0.878 5.748 -4.146 -4.863 -4.528 1.416 -2.110 0.970" Properties=species:S:1:pos:R:3 comment="AsOs2Pt2 (PBE-GGA, relaxed)" total_magnetization_mub_per_cell=0.00 pbc="T T T"
As 0.000 0.000 0.000
As -4.697 -2.871 0.610
Os -2.444 -4.146 -1.639
Os -6.188 -5.900 0.011
Os -5.534 -3.706 3.829
Os -1.789 -1.952 2.179
Pt -5.062 -4.259 -1.876
Pt -7.120 -4.034 1.616
Pt -4.331 -1.483 3.096
Pt -2.273 -1.707 -0.396

=====

#b
5
Lattice="3.580 0.000 0.000 0.000 3.580 0.000 1.790 1.790 6.719" Properties=species:S:1:pos:R:3 comment="AsOs2Pt2 (PBE-GGA, relaxed)" total_magnetization_mub_per_cell=0.00 pbc="T T T"
As 0.000 0.000 0.000
Os 3.580 1.790 3.359
Os 1.790 3.580 3.359
Pt 1.790 1.790 1.335
Pt 3.580 3.580 5.384

=====

Least stable: #b

=====

#a
5
Lattice="4.752 0.000 0.000 0.000 4.752 0.000 0.000 0.000 4.752" Properties=species:S:1:pos:R:3 comment="RbAsOs3 (PBE-GGA, relaxed)" total_magnetization_mub_per_cell=0.00 pbc="T T T"
As 2.376 2.376 2.376
Os 0.000 2.376 0.000
Os 0.000 0.000 2.376
Os 2.376 0.000 0.000
Rb 0.000 0.000 0.000

=====

#b
5
Lattice="4.718 0.000 0.000 0.000 4.718 0.000 0.000 0.000 4.718" Properties=species:S:1:pos:R:3 comment="RbAsOs3 (PBE-GGA, relaxed)" total_magnetization_mub_per_cell=1.81 pbc="T T T"
As 0.000 0.000 0.000
Os 0.000 2.359 0.000
Os 0.000 0.000 2.359
Os 2.359 0.000 0.000
Rb 2.359 2.359 2.359

=====

Least stable: #a

=====

#a
10
Lattice="6.352 0.000 0.000 0.000 6.352 0.000 0.000 0.000 6.027" Properties=species:S:1:pos:R:3 comment="Rb2AsOs2 (PBE-GGA, relaxed)" total_magnetization_mub_per_cell=0.00 pbc="T T T"
As 0.000 0.000 0.000
As 3.176 3.176 0.000
Os 2.325 5.501 0.000
Os 5.501 4.027 0.000
Os 4.027 0.851 0.000
Os 0.851 2.325 0.000
Rb 1.134 4.310 3.014
Rb 4.310 5.219 3.014
Rb 5.219 2.042 3.014
Rb 2.042 1.134 3.014

=====

#b
5
Lattice="4.318 0.000 0.000 0.000 4.318 0.000 2.159 2.159 7.457" Properties=species:S:1:pos:R:3 comment="Rb2AsOs2 (PBE-GGA, relaxed)" total_magnetization_mub_per_cell=4.37 pbc="T T T"
As 0.000 0.000 0.000
Os 2.159 2.159 1.129
Os 4.318 4.318 6.327
Rb 4.318 2.159 3.728
Rb 2.159 4.318 3.728

=====

Least stable: #b

=====

#a
8
Lattice="-0.272 3.661 4.179 0.762 -4.119 3.658 5.673 0.512 3.622" Properties=species:S:1:pos:R:3 comment="ReAs2Os (PBE-GGA, relaxed)" total_magnetization_mub_per_cell=0.01 pbc="T T T"
Re 0.245 -0.229 3.918
Re 3.340 -1.919 5.600
As 1.342 1.916 3.992
As 1.862 -2.004 3.697
As 4.435 0.229 5.640
As 4.687 -0.035 9.589
Os 0.000 0.000 0.000
Os 2.823 1.971 5.860

=====

#b
4
Lattice="-5.191 0.639 1.495 -3.118 -4.169 1.577 4.533 2.900 0.793" Properties=species:S:1:pos:R:3 comment="ReAs2Os (PBE-GGA, relaxed)" total_magnetization_mub_per_cell=0.00 pbc="T T T"
Re -1.298 -1.487 1.927
As -0.086 -0.037 0.032
As -2.281 0.940 1.866
Os -4.264 -1.812 1.577

=====

Least stable: #a

=====

#a
4
Lattice="10.248 0.065 0.038 9.817 2.944 0.038 9.817 1.472 2.550" Properties=species:S:1:pos:R:3 comment="ReAs2Os (PBE-GGA, relaxed)" total_magnetization_mub_per_cell=0.00 pbc="T T T"
Re 22.582 3.386 1.984
As 0.726 0.109 0.064
As 6.701 1.005 0.589
Os 14.814 2.221 1.302

=====

#b
4
Lattice="-2.611 -2.227 2.698 -2.971 2.114 2.400 -4.247 -0.416 -0.921" Properties=species:S:1:pos:R:3 comment="ReAs2Os (PBE-GGA, relaxed)" total_magnetization_mub_per_cell=0.00 pbc="T T T"
Re 0.000 0.000 0.000
As -2.457 -0.132 1.044
As -7.372 -0.397 3.133
Os -4.915 -0.264 2.089

=====

#c
4
Lattice="-1.794 -1.936 1.375 -1.888 -1.519 -4.600 2.919 -2.880 -0.247" Properties=species:S:1:pos:R:3 comment="ReAs2Os (PBE-GGA, relaxed)" total_magnetization_mub_per_cell=0.00 pbc="T T T"
Re 0.516 -2.199 -2.424
As 0.000 0.000 0.000
As -1.841 -1.727 -1.613
Os 0.563 -2.408 0.564

=====

#d
4
Lattice="2.904 0.000 0.000 0.000 2.904 0.000 0.000 0.000 8.284" Properties=species:S:1:pos:R:3 comment="ReAs2Os (PBE-GGA, relaxed)" total_magnetization_mub_per_cell=0.00 pbc="T T T"
Re 1.452 1.452 6.076
As 0.000 0.000 7.759
As 1.452 1.452 2.620
Os 0.000 0.000 4.254

=====

Least stable: #c